A geometry-optimized TiGa3 structure. Source: the Alexandria database, functional GGA-PBE.

Cell lengths 5.157, 5.155, 3.799 Å; angles 68.42, 68.34, 43.24 degrees
Fractional coordinates of all 4 atoms:
Ti: 0.000 0.000 0.000
Ga: 0.250 0.250 0.250
Ga: 0.500 0.500 0.500
Ga: 0.750 0.750 0.750

* N(E_F): 0.435 states/eV per atom
* calculated total energy: -4.6173 eV per atom
* DFT formation energy: -373 meV/atom

---

A geometry-optimized LiMnSe2 structure. Source: the Alexandria database, functional GGA-PBE.

Cell lengths 6.706, 6.706, 6.706 Å; angles 129.34, 129.34, 74.47 degrees
Fractional coordinates of all 8 atoms:
Li: 0.000 0.000 0.000
Li: 0.750 0.250 0.500
Mn: 0.250 0.750 0.500
Mn: 0.500 0.500 0.000
Se: 0.172 0.625 0.047
Se: 0.375 0.422 0.547
Se: 0.578 0.125 0.953
Se: 0.875 0.828 0.453

* ΔE_f (raw): -0.4429 eV per atom
* N(E_F): 0.787 states/eV per atom
* calculated total energy: -4.9560 eV per atom

---

A geometry-optimized Rb3Dy3HfTe8 structure. Source: the Alexandria database, functional GGA-PBE.

Cell lengths 10.134, 10.134, 10.134 Å; angles 51.47, 51.47, 51.47 degrees
Fractional coordinates of all 15 atoms:
Rb: 0.000 0.500 0.500
Rb: 0.500 0.000 0.500
Rb: 0.500 0.500 0.000
Dy: 0.000 0.000 0.500
Dy: 0.000 0.500 0.000
Dy: 0.500 0.000 0.000
Hf: 0.500 0.500 0.500
Te: 0.233 0.233 0.233
Te: 0.246 0.723 0.723
Te: 0.277 0.277 0.754
Te: 0.277 0.754 0.277
Te: 0.723 0.246 0.723
Te: 0.723 0.723 0.246
Te: 0.754 0.277 0.277
Te: 0.767 0.767 0.767

* ΔE_f (raw): -1.2637 eV per atom
* calculated total energy: -4.7168 eV per atom

---

A geometry-optimized CoOs2Ru structure. Source: the Alexandria database, functional GGA-PBE.

Cell lengths 4.602, 4.602, 4.613 Å; angles 99.31, 99.31, 33.79 degrees
Fractional coordinates of all 4 atoms:
Co: 0.000 0.000 0.000
Os: 0.252 0.252 0.759
Os: 0.502 0.502 0.503
Ru: 0.752 0.752 0.245

* N(E_F): 1.047 states/eV per atom
* calculated total energy: -9.5524 eV per atom
* DFT formation energy: 158 meV/atom
* polymorph energy (0 for the lowest one): 16.6 meV per atom

---

A geometry-optimized Nd3Ho5Tm3 structure. Source: the Alexandria database, functional GGA-PBE.

Cell lengths 11.150, 11.150, 3.417 Å; angles 90.00, 90.00, 120.00 degrees
Fractional coordinates of all 11 atoms:
Nd: 0.000 0.660 0.000
Nd: 0.340 0.340 0.000
Nd: 0.660 0.000 0.000
Ho: 0.000 0.160 0.000
Ho: 0.160 0.000 0.000
Ho: 0.333 0.667 0.000
Ho: 0.667 0.333 0.000
Ho: 0.840 0.840 0.000
Tm: 0.000 0.407 0.500
Tm: 0.407 0.000 0.500
Tm: 0.593 0.593 0.500

* N(E_F): 1.470 states/eV per atom
* calculated total energy: -4.2601 eV per atom
* DFT formation energy: 341 meV/atom

---

A geometry-optimized Tm3Ag5Te12 structure. Source: the Alexandria database, functional GGA-PBE.

Cell lengths 14.862, 14.862, 14.862 Å; angles 109.47, 109.47, 109.47 degrees
Fractional coordinates of all 80 atoms:
Tm: 0.125 0.250 0.375
Tm: 0.125 0.375 0.750
Tm: 0.250 0.375 0.125
Tm: 0.250 0.875 0.625
Tm: 0.375 0.125 0.250
Tm: 0.375 0.750 0.125
Tm: 0.625 0.250 0.875
Tm: 0.625 0.875 0.750
Tm: 0.750 0.125 0.375
Tm: 0.750 0.625 0.875
Tm: 0.875 0.625 0.250
Tm: 0.875 0.750 0.625
Ag: 0.000 0.000 0.000
Ag: 0.000 0.000 0.500
Ag: 0.000 0.500 0.000
Ag: 0.000 0.500 0.500
Ag: 0.125 0.750 0.875
Ag: 0.125 0.875 0.250
Ag: 0.250 0.125 0.875
Ag: 0.250 0.625 0.375
Ag: 0.375 0.250 0.625
Ag: 0.375 0.625 0.750
Ag: 0.500 0.000 0.000
Ag: 0.500 0.000 0.500
Ag: 0.500 0.500 0.000
Ag: 0.500 0.500 0.500
Ag: 0.625 0.375 0.250
Ag: 0.625 0.750 0.375
Ag: 0.750 0.375 0.625
Ag: 0.750 0.875 0.125
Ag: 0.875 0.125 0.750
Ag: 0.875 0.250 0.125
Te: 0.051 0.222 0.136
Te: 0.051 0.329 0.915
Te: 0.085 0.636 0.414
Te: 0.085 0.949 0.671
Te: 0.086 0.722 0.671
Te: 0.086 0.864 0.415
Te: 0.136 0.051 0.222
Te: 0.136 0.585 0.914
Te: 0.171 0.222 0.586
Te: 0.171 0.449 0.585
Te: 0.222 0.136 0.051
Te: 0.222 0.586 0.171
Te: 0.278 0.329 0.914
Te: 0.278 0.449 0.364
Te: 0.329 0.914 0.278
Te: 0.329 0.915 0.051
Te: 0.364 0.278 0.449
Te: 0.364 0.586 0.915
Te: 0.414 0.085 0.636
Te: 0.414 0.829 0.778
Te: 0.415 0.086 0.864
Te: 0.415 0.829 0.551
Te: 0.449 0.364 0.278
Te: 0.449 0.585 0.171
Te: 0.551 0.415 0.829
Te: 0.551 0.636 0.722
Te: 0.585 0.171 0.449
Te: 0.585 0.914 0.136
Te: 0.586 0.171 0.222
Te: 0.586 0.915 0.364
Te: 0.636 0.414 0.085
Te: 0.636 0.722 0.551
Te: 0.671 0.085 0.949
Te: 0.671 0.086 0.722
Te: 0.722 0.551 0.636
Te: 0.722 0.671 0.086
Te: 0.778 0.414 0.829
Te: 0.778 0.864 0.949
Te: 0.829 0.551 0.415
Te: 0.829 0.778 0.414
Te: 0.864 0.415 0.086
Te: 0.864 0.949 0.778
Te: 0.914 0.136 0.585
Te: 0.914 0.278 0.329
Te: 0.915 0.051 0.329
Te: 0.915 0.364 0.586
Te: 0.949 0.671 0.085
Te: 0.949 0.778 0.864

* ΔE_f (raw): -0.3617 eV per atom
* N(E_F): 0.883 states/eV per atom
* calculated total energy: -3.6303 eV per atom

---

A geometry-optimized Li2SbP2 structure. Source: the Alexandria database, functional GGA-PBE.

Cell lengths 8.682, 8.682, 8.682 Å; angles 157.89, 157.89, 31.47 degrees
Fractional coordinates of all 5 atoms:
Li: 0.119 0.119 0.000
Li: 0.881 0.881 0.000
Sb: 0.500 0.500 0.000
P: 0.250 0.750 0.500
P: 0.750 0.250 0.500

* ΔE_f (raw): -0.2754 eV per atom
* N(E_F): 0.218 states/eV per atom
* calculated total energy: -4.0294 eV per atom
* polymorph energy (0 for the lowest one): 0.0 meV per atom

---

A geometry-optimized GdSnRhAu structure. Source: the Alexandria database, functional GGA-PBE.

Cell lengths 4.874, 4.874, 4.874 Å; angles 60.00, 60.00, 60.00 degrees
Fractional coordinates of all 4 atoms:
Gd: 0.000 0.000 0.000
Sn: 0.500 0.500 0.500
Rh: 0.250 0.250 0.250
Au: 0.750 0.750 0.750

* N(E_F): 0.574 states/eV per atom
* calculated total energy: -7.7869 eV per atom
* DFT formation energy: -609 meV/atom